Entry from the Alexandria database: a relaxed structure of Tb2HoSi2Pt7 (GGA-PBE).

a = 4.0392 Å, b = 4.0392 Å, c = 13.7910 Å
α = 83.88°, β = 83.88°, γ = 89.52°
Element x y z (fractional)
Tb: 0.8841 0.8841 0.3562
Tb: 0.1159 0.1159 0.6438
Ho: 0.0000 0.0000 0.0000
Si: 0.5937 0.5937 0.7433
Si: 0.4063 0.4063 0.2567
Pt: 0.5000 0.5000 0.0000
Pt: 0.3684 0.3684 0.4274
Pt: 0.6316 0.6316 0.5726
Pt: 0.9410 0.4415 0.1607
Pt: 0.4415 0.9410 0.1607
Pt: 0.5585 0.0590 0.8393
Pt: 0.0590 0.5585 0.8393

Output
* V: 222.4 Å³/f.u.
* M_tot: 0.000 μB per atom
* ρ: 14.2 Mg/m³
* total DFT energy (no corrections): -80.59 eV for the cell shown



Entry from the Alexandria database: a relaxed structure of HgSeO (GGA-PBE).

a = 5.5813 Å, b = 5.3011 Å, c = 7.0537 Å
α = 74.08°, β = 75.36°, γ = 48.44°
Element x y z (fractional)
O: 0.3834 0.9648 0.3568
O: 0.6166 0.0352 0.6432
Hg: 0.6875 0.1374 0.2737
Hg: 0.3125 0.8626 0.7263
Se: 0.3086 0.8354 0.1859
Se: 0.6914 0.1646 0.8141

Output
* V: 74.7 Å³/f.u.
* M_tot: 0.000 μB per atom
* ρ: 6.6 Mg/m³
* total DFT energy (no corrections): -18.62 eV for the cell shown



- Which of these has the highest V?
  Tb2HoSi2Pt7